(1)
BePbIO2: optimized geometry, PBE.

Lattice parameters (Å, degrees): 4.172 4.172 4.992 90.00 90.00 90.00
Site moments in Bohr magnetons follow the coordinates.
Sites, in units of the cell vectors:
Pb 0.500 0.500 0.500  -0.03
I 0.000 0.000 0.500  0.00
O 0.000 0.500 0.000  0.44
O 0.500 0.000 0.000  0.44
Be 0.000 0.000 0.000  -0.02

The calculation puts the energy relative to the lowest polymorph listed for this composition at 0.00 eV per formula unit. As for the space-group type: P4/mmm (123). For the volume, the calculation gives 17.375 Å³/atom. Its total energy is -19.6 eV for the cell shown.


(2)
BePdIO2: optimized geometry, PBE.

Lattice parameters (Å, degrees): 3.592 3.592 6.806 90.00 90.00 90.00
Sites, in units of the cell vectors:
I 0.000 0.000 0.500
Be 0.000 0.000 0.000
O 0.000 0.500 0.000
O 0.500 0.000 0.000
Pd 0.500 0.500 0.500

The calculation puts the energy relative to the lowest polymorph listed for this composition at 0.00 eV per formula unit. As for the space-group type: P4/mmm (123). For the volume, the calculation gives 17.564 Å³/atom. Its total energy is -21.0 eV for the cell shown.


(3)
BePd2IO: optimized geometry, PBE.

Lattice parameters (Å, degrees): 4.976 4.561 4.976 90.00 90.00 90.00
Sites, in units of the cell vectors:
I 0.000 0.000 0.000
Be 0.000 0.500 0.000
O 0.500 0.500 0.500
Pd 0.000 0.000 0.500
Pd 0.500 0.000 0.000

As for the space-group type: P4/mmm (123). For the volume, the calculation gives 22.589 Å³/atom. Its total energy is -14.0 eV for the cell shown.


(4)
BePdIO2: optimized geometry, PBE.

Lattice parameters (Å, degrees): 3.805 3.805 7.412 90.00 90.00 90.00
Site moments in Bohr magnetons follow the coordinates.
Sites, in units of the cell vectors:
I 0.000 0.000 0.500  0.00
Be 0.500 0.500 0.500  0.01
O 0.000 0.500 0.000  0.08
O 0.500 0.000 0.000  0.08
Pd 0.000 0.000 0.000  0.14

The calculation puts the energy relative to the lowest polymorph listed for this composition at 2.37 eV per formula unit. As for the space-group type: P4/mmm (123). For the volume, the calculation gives 21.459 Å³/atom. Its total energy is -18.6 eV for the cell shown.


(5)
RbBeIO2: optimized geometry, PBE.

Lattice parameters (Å, degrees): 4.386 4.386 5.040 90.00 90.00 90.00
Site moments in Bohr magnetons follow the coordinates.
Sites, in units of the cell vectors:
I 0.000 0.000 0.500  0.16
Be 0.000 0.000 0.000  -0.03
O 0.000 0.500 0.000  0.75
O 0.500 0.000 0.000  0.75
Rb 0.500 0.500 0.500  0.00

The calculation puts the energy relative to the lowest polymorph listed for this composition at 0.00 eV per formula unit. As for the space-group type: P4/mmm (123). For the volume, the calculation gives 19.391 Å³/atom. Its total energy is -17.1 eV for the cell shown.


(6)
RbBeIO2: optimized geometry, PBE.

Lattice parameters (Å, degrees): 4.386 4.386 7.285 90.00 90.00 90.00
Site moments in Bohr magnetons follow the coordinates.
Sites, in units of the cell vectors:
I 0.000 0.000 0.500  0.00
Be 0.500 0.500 0.500  0.00
O 0.000 0.500 0.000  0.41
O 0.500 0.000 0.000  0.41
Rb 0.000 0.000 0.000  0.01

The calculation puts the energy relative to the lowest polymorph listed for this composition at 5.93 eV per formula unit. As for the space-group type: P4/mmm (123). For the volume, the calculation gives 28.031 Å³/atom. Its total energy is -11.2 eV for the cell shown.


(7)
BeReIO2: optimized geometry, PBE.

Lattice parameters (Å, degrees): 3.747 4.989 3.747 90.00 90.00 90.00
Site moments in Bohr magnetons follow the coordinates.
Sites, in units of the cell vectors:
I 0.000 0.500 0.000  0.04
Re 0.500 0.500 0.500  1.93
O 0.000 0.000 0.500  0.18
O 0.500 0.000 0.000  0.23
Be 0.000 0.000 0.000  0.00

The calculation puts the energy relative to the lowest polymorph listed for this composition at 4.86 eV per formula unit. As for the space-group type: P4/mmm (123). For the volume, the calculation gives 14.010 Å³/atom. Its total energy is -24.3 eV for the cell shown.


(8)
BeReI2O: optimized geometry, PBE.

Lattice parameters (Å, degrees): 5.740 5.740 3.016 90.00 90.00 90.00
Site moments in Bohr magnetons follow the coordinates.
Sites, in units of the cell vectors:
I 0.000 0.500 0.000  -0.04
I 0.500 0.000 0.000  -0.04
Re 0.500 0.500 0.500  2.52
O 0.000 0.000 0.500  0.02
Be 0.000 0.000 0.000  0.00

The calculation puts the energy relative to the lowest polymorph listed for this composition at 0.00 eV per formula unit. As for the space-group type: P4/mmm (123). For the volume, the calculation gives 19.871 Å³/atom. Its total energy is -22.7 eV for the cell shown.